Here is a relaxed structure of Np3V5Te12 from the Alexandria database. Energies are from PBE-GGA.

Lattice parameters (Å, degrees): 14.674 14.674 14.674 109.47 109.47 109.47
Atoms (fractional coordinates):
Np (0.125, 0.250, 0.375)
Np (0.125, 0.375, 0.750)
Np (0.250, 0.375, 0.125)
Np (0.250, 0.875, 0.625)
Np (0.375, 0.125, 0.250)
Np (0.375, 0.750, 0.125)
Np (0.625, 0.250, 0.875)
Np (0.625, 0.875, 0.750)
Np (0.750, 0.125, 0.375)
Np (0.750, 0.625, 0.875)
Np (0.875, 0.625, 0.250)
Np (0.875, 0.750, 0.625)
V (0.000, 0.000, 0.000)
V (0.000, 0.000, 0.500)
V (0.000, 0.500, 0.000)
V (0.000, 0.500, 0.500)
V (0.125, 0.750, 0.875)
V (0.125, 0.875, 0.250)
V (0.250, 0.125, 0.875)
V (0.250, 0.625, 0.375)
V (0.375, 0.250, 0.625)
V (0.375, 0.625, 0.750)
V (0.500, 0.000, 0.000)
V (0.500, 0.000, 0.500)
V (0.500, 0.500, 0.000)
V (0.500, 0.500, 0.500)
V (0.625, 0.375, 0.250)
V (0.625, 0.750, 0.375)
V (0.750, 0.375, 0.625)
V (0.750, 0.875, 0.125)
V (0.875, 0.125, 0.750)
V (0.875, 0.250, 0.125)
Te (0.034, 0.211, 0.120)
Te (0.034, 0.323, 0.914)
Te (0.086, 0.620, 0.409)
Te (0.086, 0.966, 0.677)
Te (0.091, 0.711, 0.677)
Te (0.091, 0.880, 0.414)
Te (0.120, 0.034, 0.211)
Te (0.120, 0.586, 0.909)
Te (0.177, 0.211, 0.591)
Te (0.177, 0.466, 0.586)
Te (0.211, 0.120, 0.034)
Te (0.211, 0.591, 0.177)
Te (0.289, 0.323, 0.909)
Te (0.289, 0.466, 0.380)
Te (0.323, 0.909, 0.289)
Te (0.323, 0.914, 0.034)
Te (0.380, 0.289, 0.466)
Te (0.380, 0.591, 0.914)
Te (0.409, 0.086, 0.620)
Te (0.409, 0.823, 0.789)
Te (0.414, 0.091, 0.880)
Te (0.414, 0.823, 0.534)
Te (0.466, 0.380, 0.289)
Te (0.466, 0.586, 0.177)
Te (0.534, 0.414, 0.823)
Te (0.534, 0.620, 0.711)
Te (0.586, 0.177, 0.466)
Te (0.586, 0.909, 0.120)
Te (0.591, 0.177, 0.211)
Te (0.591, 0.914, 0.380)
Te (0.620, 0.409, 0.086)
Te (0.620, 0.711, 0.534)
Te (0.677, 0.086, 0.966)
Te (0.677, 0.091, 0.711)
Te (0.711, 0.534, 0.620)
Te (0.711, 0.677, 0.091)
Te (0.789, 0.409, 0.823)
Te (0.789, 0.880, 0.966)
Te (0.823, 0.534, 0.414)
Te (0.823, 0.789, 0.409)
Te (0.880, 0.414, 0.091)
Te (0.880, 0.966, 0.789)
Te (0.909, 0.120, 0.586)
Te (0.909, 0.289, 0.323)
Te (0.914, 0.034, 0.323)
Te (0.914, 0.380, 0.591)
Te (0.966, 0.677, 0.086)
Te (0.966, 0.789, 0.880)

## Properties
* V: 30.405 A^3/atom
* VASP energy: -6.400 eV/atom
* space-group type: Ia-3d